DFT (SCAN) results for a crystal of Nb2CuBr relaxed with PBEsol.

a b c (Å): 4.4749 4.4749 4.4749
angles (deg): 60.00 60.00 60.00
Fractional coordinates of all 4 atoms:
Nb: 0.2500 0.2500 0.2500
Nb: 0.7500 0.7500 0.7500
Cu: 0.0000 0.0000 0.0000
Br: 0.5000 0.5000 0.5000

Properties
* formation energy (no corrections): 0.536 eV per atom
* space group: No. 225
* final energy: -0.9075 Ha/atom
* calculated volume: 15.84 A^3/atom